(1)
A geometry-optimized AlCr2GaO6 structure, computed with PBE with a Hubbard U.

Unit cell a=5.0195 b=5.0196 c=5.3695 alpha=62.13 beta=62.14 gamma=59.99
With the nearest neighbours (Å) after each atom.
Fractional coordinates of all 10 atoms:
O 0.4227 0.7085 0.7536  1 Ga 1.93, 1 Al 2.02, 2 Cr 2.02-2.04
O 0.9359 0.6010 0.2434  1 Al 1.88, 2 Cr 2.02-2.03
O 0.6009 0.2198 0.2434  1 Al 1.88, 2 Cr 2.02-2.03
O 0.1150 0.4228 0.7536  1 Ga 1.93, 1 Al 2.02, 2 Cr 2.02-2.04
O 0.7087 0.1150 0.7535  1 Ga 1.93, 2 Cr 2.02-2.04, 1 Al 2.02
O 0.2199 0.9360 0.2433  1 Al 1.88, 2 Cr 2.02-2.03
Cr 0.0150 0.0150 0.9550  6 O 2.02-2.03
Cr 0.5180 0.5180 0.4459  6 O 2.02-2.04
Al 0.3154 0.3154 0.0539  6 O 1.88-2.02
Ga 0.8100 0.8101 0.5697  6 O 1.93-2.14

Properties
Space-group type: R3, No. 146
Density of states at the Fermi level in states/eV/cell: 0.00
Energy in eV/cell: -73.3
Magnetic moment in μB/atom: 0.600

(2)
A geometry-optimized Sr2AlCr2GaO7 structure, computed with PBE with a Hubbard U.

Unit cell a=5.1530 b=5.5173 c=12.5922 alpha=96.66 beta=101.34 gamma=90.12
With the nearest neighbours (Å) after each atom.
Fractional coordinates of all 26 atoms:
Sr 0.3484 0.3142 0.6898  5 O 2.45-2.72
Sr 0.1688 0.2214 0.3109  5 O 2.46-2.72
Sr 0.6517 0.6873 0.3117  5 O 2.45-2.74
Sr 0.8343 0.7792 0.6911  5 O 2.46-2.74
O 0.3408 0.1402 0.4996  2 Ga 1.91-1.92
O 0.2794 0.1981 0.9429  2 Al 2.00-2.08, 2 Cr 2.07-2.08
O 0.8349 0.8591 0.5027  2 Ga 1.90-1.91
O 0.1705 0.6981 0.9435  2 Al 2.00-2.09, 2 Cr 2.08-2.09
O 0.1930 0.6741 0.3591  1 Ga 1.86
O 0.8350 0.3015 0.0582  2 Al 2.00-2.09, 2 Cr 2.08-2.09
O 0.8411 0.3274 0.6430  1 Ga 1.86
O 0.3308 0.7503 0.6429  1 Ga 1.86
O 0.5834 0.5345 0.8625  1 Al 1.90, 2 Cr 2.02-2.06
O 0.2154 0.9674 0.1404  1 Al 1.91, 2 Cr 2.02-2.05
O 0.7061 0.2505 0.3589  1 Ga 1.87
O 0.7902 0.0325 0.8617  1 Al 1.90, 2 Cr 2.02-2.05
O 0.4217 0.4645 0.1388  1 Al 1.90, 2 Cr 2.02-2.05
O 0.7260 0.8012 0.0586  2 Al 2.00-2.09, 2 Cr 2.07-2.08
Ga 0.7119 0.1827 0.5010  4 O 1.86-1.92
Ga 0.2028 0.8190 0.5010  4 O 1.86-1.91
Cr 0.0626 0.6179 0.1203  4 O 2.02-2.09
Cr 0.9426 0.3816 0.8813  4 O 2.02-2.09
Cr 0.4465 0.8836 0.8809  4 O 2.02-2.08
Cr 0.5589 0.1158 0.1207  4 O 2.02-2.08
Al 0.0029 0.9999 0.0009  6 O 1.90-2.09
Al 0.5027 0.4995 0.0007  6 O 1.90-2.09

Properties
Space-group type: P1, No. 1
Energy in eV/cell: -178.1
Magnetic moment in μB/atom: 0.615